Density functional theory data (GGA-PBE) for a geometry-optimized InFePb2 structure.

Calculated values
N(E_F) (states/eV/atom): 0.740
Volume (Å³ per cell): 102.4
ΔH_f (0 K) (eV per atom): 0.539
ΔE to the lowest computed polymorph (meV per atom): 265
DFT total energy (eV/atom): -4.12
Symmetry: No. 216

a = 5.2514 Å, b = 5.2514 Å, c = 5.2514 Å
α = 60.00°, β = 60.00°, γ = 60.00°
Element x y z (fractional)
Pb 0.2500 0.2500 0.2500
Pb 0.0000 0.0000 0.0000
In 0.7500 0.7500 0.7500
Fe 0.5000 0.5000 0.5000

***

Density functional theory data (GGA-PBE) for a geometry-optimized CrSbS2 structure.

Calculated values
N(E_F) (states/eV/atom): 0.279
Volume (Å³ per cell): 88.0
DFT total energy (eV/atom): -5.84
Symmetry: No. 1

a = 10.7526 Å, b = 3.0768 Å, c = 3.0793 Å
α = 59.98°, β = 92.27°, γ = 93.82°
Element x y z (fractional)
S 0.3897 0.7676 0.4076
S 0.1172 0.7081 0.3996
Sb 0.7533 0.4912 0.9878
Cr 0.2535 0.0710 0.7370

***

Density functional theory data (GGA-PBE) for a geometry-optimized Cs4NdBr6 structure.

Calculated values
N(E_F) (states/eV/atom): 0.451
Volume (Å³ per cell): 1017.1
DFT total energy (eV/atom): -3.35
Symmetry: No. 128

a = 9.9647 Å, b = 9.9647 Å, c = 10.2432 Å
α = 90.00°, β = 90.00°, γ = 90.00°
Element x y z (fractional)
Cs 0.3317 0.1683 0.2500
Cs 0.3317 0.1683 0.7500
Cs 0.8317 0.3317 0.7500
Cs 0.8317 0.3317 0.2500
Cs 0.1683 0.6683 0.2500
Cs 0.1683 0.6683 0.7500
Cs 0.6683 0.8317 0.7500
Cs 0.6683 0.8317 0.2500
Br 0.2924 0.9036 0.5000
Br 0.2076 0.4036 0.0000
Br 0.7076 0.0964 0.5000
Br 0.0964 0.2924 0.5000
Br 0.0000 0.0000 0.2134
Br 0.5000 0.5000 0.7134
Br 0.0000 0.0000 0.7866
Br 0.4036 0.7924 0.0000
Br 0.7924 0.5964 0.0000
Br 0.5964 0.2076 0.0000
Br 0.9036 0.7076 0.5000
Br 0.5000 0.5000 0.2866
Nd 0.5000 0.5000 0.0000
Nd 0.0000 0.0000 0.5000